# 1
Below is crystalline Mn2TlSeO8 at its relaxed geometry, with properties calculated at the PBE+U level.

Computed properties:
The calculated total energy is -5.88 eV per atom. As for the space group: P2/m. As for the density of states at the Fermi level: 1.6 states/eV per cell.

a b c (Å): 4.670 4.656 6.290
angles (deg): 90.00 90.00 90.88
Each line ends with the local moment (μB).
Positions (direct):
O 0.188 0.808 0.209  -0.07
O 0.331 0.327 0.500  -0.16
O 0.812 0.192 0.209  -0.07
O 0.812 0.192 0.791  -0.07
O 0.188 0.808 0.791  -0.07
O 0.703 0.708 0.000  -0.07
O 0.669 0.673 0.500  -0.16
O 0.297 0.292 0.000  -0.07
Se 0.000 0.000 0.000  0.06
Tl 0.000 0.000 0.500  -0.01
Mn 0.500 0.500 0.243  3.78
Mn 0.500 0.500 0.757  3.78

# 2
Below is crystalline MnTl3Se2O8 at its relaxed geometry, with properties calculated at the PBE+U level.

Computed properties:
The calculated total energy is -5.17 eV per atom. As for the space group: P-3m1. As for the density of states at the Fermi level: 3.5 states/eV per cell.

a b c (Å): 5.984 5.984 7.928
angles (deg): 90.00 90.00 120.00
Each line ends with the local moment (μB).
Positions (direct):
O 0.830 0.170 0.668  -0.02
O 0.341 0.170 0.668  -0.02
O 0.333 0.667 0.056  0.01
O 0.659 0.830 0.332  -0.02
O 0.170 0.830 0.332  -0.02
O 0.667 0.333 0.944  0.01
O 0.830 0.659 0.668  -0.02
O 0.170 0.341 0.332  -0.02
Tl 0.667 0.333 0.275  0.00
Tl 0.000 0.000 0.000  -0.01
Tl 0.333 0.667 0.725  0.00
Mn 0.000 0.000 0.500  4.58
Se 0.333 0.667 0.269  0.00
Se 0.667 0.333 0.731  0.00

# 3
Below is crystalline MnTlSe2O6 at its relaxed geometry, with properties calculated at the PBE+U level.

Computed properties:
The calculated total energy is -5.58 eV per atom. As for the space group: R-3. As for the density of states at the Fermi level: 1.2 states/eV per cell.

a b c (Å): 5.485 5.485 7.153
angles (deg): 67.45 67.45 60.00
Each line ends with the local moment (μB).
Positions (direct):
O 0.907 0.485 0.308  -0.06
O 0.093 0.515 0.692  -0.06
O 0.515 0.700 0.692  -0.06
O 0.700 0.093 0.692  -0.06
O 0.485 0.300 0.308  -0.06
O 0.300 0.907 0.308  -0.06
Se 0.261 0.261 0.216  -0.01
Se 0.739 0.739 0.784  -0.01
Mn 0.500 0.500 0.500  4.31
Tl 0.000 0.000 0.000  0.01

# 4
Below is crystalline UMnSe2O at its relaxed geometry, with properties calculated at the PBE+U level.

Computed properties:
The calculated total energy is -7.74 eV per atom. As for the space group: P4/nmm. As for the density of states at the Fermi level: 15.0 states/eV per cell.

a b c (Å): 3.826 3.826 13.558
angles (deg): 90.00 90.00 90.00
Each line ends with the local moment (μB).
Positions (direct):
Se 0.000 0.500 0.107  0.02
Se 0.000 0.500 0.697  0.07
Se 0.500 0.000 0.303  0.07
Se 0.500 0.000 0.893  0.02
O 0.000 0.000 0.500  0.07
O 0.500 0.500 0.500  0.07
Mn 0.000 0.500 0.904  4.56
Mn 0.500 0.000 0.096  4.56
U 0.500 0.000 0.598  -2.07
U 0.000 0.500 0.402  -2.07

# 5
Below is crystalline Mn2WSeO at its relaxed geometry, with properties calculated at the PBE+U level.

Computed properties:
The calculated total energy is -6.05 eV per atom. As for the space group: P4/mmm. As for the density of states at the Fermi level: 1.4 states/eV per cell.

a b c (Å): 3.972 6.346 3.972
angles (deg): 90.00 90.00 90.00
Each line ends with the local moment (μB).
Positions (direct):
Mn 0.000 0.000 0.500  4.38
Mn 0.500 0.000 0.000  4.30
W 0.500 0.500 0.500  3.13
Se 0.000 0.500 0.000  -0.02
O 0.000 0.000 0.000  0.01

# 6
Below is crystalline Y2MnSe2O2 at its relaxed geometry, with properties calculated at the PBE+U level.

Computed properties:
The calculated total energy is -7.65 eV per atom. As for the space group: C2/m. As for the density of states at the Fermi level: 0.0 states/eV per cell.

a b c (Å): 3.798 6.069 6.565
angles (deg): 67.36 73.18 71.77
Each line ends with the local moment (μB).
Positions (direct):
Y 0.191 0.368 0.250  0.03
Y 0.809 0.632 0.750  0.03
Se 0.433 0.800 0.335  0.04
Se 0.567 0.200 0.665  0.04
O 0.798 0.320 0.084  0.02
O 0.202 0.680 0.916  0.02
Mn 0.000 0.000 0.000  4.54

# 7
Below is crystalline MnZnSe2O8 at its relaxed geometry, with properties calculated at the PBE+U level.

Computed properties:
The calculated total energy is -5.49 eV per atom. As for the space group: I-4m2. As for the density of states at the Fermi level: 0.0 states/eV per cell.

a b c (Å): 5.840 5.840 5.840
angles (deg): 105.75 105.75 117.21
Each line ends with the local moment (μB).
Positions (direct):
Se 0.750 0.250 0.500  0.02
Se 0.500 0.500 0.000  0.01
O 0.930 0.611 0.681  0.01
O 0.389 0.070 0.319  0.01
O 0.860 0.677 0.183  0.02
O 0.323 0.140 0.817  0.02
O 0.930 0.249 0.319  0.01
O 0.323 0.506 0.183  0.02
O 0.494 0.677 0.817  0.02
O 0.751 0.070 0.681  0.01
Mn 0.000 0.000 0.000  4.66
Zn 0.250 0.750 0.500  0.00

# 8
Below is crystalline MnZn2SeO6 at its relaxed geometry, with properties calculated at the PBE+U level.

Computed properties:
The calculated total energy is -5.44 eV per atom. As for the space group: C2/c. As for the density of states at the Fermi level: 0.2 states/eV per cell.

a b c (Å): 5.286 6.700 6.700
angles (deg): 85.86 83.73 83.73
Each line ends with the local moment (μB).
Positions (direct):
O 0.840 0.709 0.532  0.00
O 0.117 0.656 0.133  -0.06
O 0.617 0.133 0.656  -0.06
O 0.414 0.176 0.042  -0.06
O 0.160 0.291 0.468  0.00
O 0.883 0.344 0.867  -0.06
O 0.340 0.532 0.709  0.00
O 0.914 0.042 0.176  -0.06
O 0.660 0.468 0.291  0.00
O 0.086 0.958 0.824  -0.06
O 0.586 0.824 0.958  -0.06
O 0.383 0.867 0.344  -0.06
Zn 0.177 0.794 0.589  0.00
Zn 0.677 0.589 0.794  0.00
Zn 0.823 0.206 0.411  0.00
Zn 0.323 0.411 0.206  0.00
Se 0.250 0.283 0.717  0.01
Se 0.750 0.717 0.283  0.01
Mn 0.250 0.914 0.086  3.19
Mn 0.750 0.086 0.914  3.19